A) VASP calculation (PBE) on crystalline HoZn2Pb at its relaxed geometry.

## Properties
Its symmetry is P4/mmm.

Cell: 4.412 4.412 4.446 Å, 90.00 90.00 90.00°
Element x y z (fractional)
1 Ho 0.000 0.000 0.000
2 Zn 0.000 0.500 0.500
3 Zn 0.500 0.000 0.500
4 Pb 0.500 0.500 0.000

---

B) VASP calculation (PBE) on crystalline HoZn2Pb at its relaxed geometry.

## Properties
Its symmetry is R-3m.

Cell: 5.677 5.677 5.677 Å, 47.76 47.76 47.76°
Element x y z (fractional)
1 Ho 0.000 0.000 0.000
2 Zn 0.242 0.242 0.242
3 Zn 0.758 0.758 0.758
4 Pb 0.500 0.500 0.500

---

Calculated relative energies: A) 0.000; B) 0.144, given in eV/atom

---

A) VASP calculation (PBE) on crystalline HoZnPb2 at its relaxed geometry.

## Properties
Its symmetry is P4/mmm.

Cell: 4.751 4.751 4.472 Å, 90.00 90.00 90.00°
Element x y z (fractional)
1 Ho 0.000 0.000 0.000
2 Zn 0.500 0.500 0.000
3 Pb 0.000 0.500 0.500
4 Pb 0.500 0.000 0.500

---

B) VASP calculation (PBE) on crystalline HoZnPb2 at its relaxed geometry.

## Properties
Its symmetry is R-3m.

Cell: 5.781 5.781 5.781 Å, 50.49 50.49 50.49°
Element x y z (fractional)
1 Ho 0.000 0.000 0.000
2 Zn 0.500 0.500 0.500
3 Pb 0.236 0.236 0.236
4 Pb 0.764 0.764 0.764

---

Calculated relative energies: A) 0.000; B) 0.219, given in eV/atom